Below is a relaxed structure of HfMn3Cd, with properties calculated at the PBE-GGA level.

It has space group Pm-3m (No. 221), with a = 4.826 Å, b = 4.826 Å, c = 4.826 Å, α = 90.00°, β = 90.00° and γ = 90.00°. Symmetry generates all atoms from Hf at (0.000, 0.000, 0.000), Mn at (0.000, 0.500, 0.500) and Cd at (0.500, 0.500, 0.500).

Its crystal system is cubic. The total energy is -6.320 eV/atom. The calculation puts the polymorph energy (0 for the lowest one) at 100 meV/atom.